(1)
Material: K4Tl3Pt2
Method: DFT, PBE
State: optimized geometry

- energy of formation (eV per formula unit) = -1.43
- energy (eV/atom) = -2.778
- volume (Å³/f.u.) = 312.97
- space-group type = C2/m (12)

Lattice parameters (Å, degrees): 4.304 8.410 9.369 107.99 103.28 90.00
Fractional coordinates of all 9 atoms:
1 K 0.224 0.671 0.448
2 K 0.776 0.329 0.552
3 K 0.579 0.868 0.158
4 K 0.421 0.132 0.842
5 Tl 0.106 0.230 0.213
6 Tl 0.894 0.770 0.787
7 Tl 0.000 0.500 0.000
8 Pt 0.413 0.574 0.826
9 Pt 0.587 0.426 0.174

(2)
Material: KTl2Pt2
Method: DFT, PBE
State: optimized geometry

- energy of formation (eV per formula unit) = -0.75
- energy (eV/atom) = -3.732
- volume (Å³/f.u.) = 135.91
- space-group type = I4/mmm (139)
- energy relative to the lowest polymorph listed for this composition (eV per atom) = 0.0163

Lattice parameters (Å, degrees): 3.958 3.958 9.117 77.46 77.46 90.00
Fractional coordinates of all 5 atoms:
1 Tl 0.367 0.367 0.267
2 Tl 0.633 0.633 0.733
3 K 0.000 0.000 0.000
4 Pt 0.750 0.250 0.500
5 Pt 0.250 0.750 0.500

(3)
Material: KTl3Pt
Method: DFT, PBE
State: optimized geometry

- energy of formation (eV per formula unit) = 5.82
- energy (eV/atom) = -1.684
- volume (Å³/f.u.) = 208.97
- space-group type = Pm-3m (221)
- energy relative to the lowest polymorph listed for this composition (eV per atom) = 1.3061

Lattice parameters (Å, degrees): 5.934 5.934 5.934 90.00 90.00 90.00
Fractional coordinates of all 5 atoms:
1 Tl 0.000 0.500 0.000
2 Tl 0.000 0.000 0.500
3 Tl 0.500 0.000 0.000
4 K 0.000 0.000 0.000
5 Pt 0.500 0.500 0.500

(4)
Material: KTlPt3
Method: DFT, PBE
State: optimized geometry

- energy of formation (eV per formula unit) = 8.51
- energy (eV/atom) = -2.614
- volume (Å³/f.u.) = 129.58
- space-group type = Pm-3m (221)
- energy relative to the lowest polymorph listed for this composition (eV per atom) = 1.7643

Lattice parameters (Å, degrees): 5.060 5.060 5.060 90.00 90.00 90.00
Fractional coordinates of all 5 atoms:
1 Tl 0.500 0.500 0.500
2 K 0.000 0.000 0.000
3 Pt 0.000 0.500 0.000
4 Pt 0.000 0.000 0.500
5 Pt 0.500 0.000 0.000

(5)
Material: KTlPt2
Method: DFT, PBE
State: optimized geometry

- energy of formation (eV per formula unit) = 1.25
- energy (eV/atom) = -3.574
- volume (Å³/f.u.) = 85.04
- space-group type = F-43m (216)

Lattice parameters (Å, degrees): 4.936 4.936 4.936 60.00 60.00 60.00
Fractional coordinates of all 4 atoms:
1 K 0.500 0.500 0.500
2 Pt 0.000 0.000 0.000
3 Pt 0.250 0.250 0.250
4 Tl 0.750 0.750 0.750

(6)
Material: KTl2Pt2
Method: DFT, PBE
State: optimized geometry

- energy of formation (eV per formula unit) = -0.70
- energy (eV/atom) = -3.723
- volume (Å³/f.u.) = 130.22
- space-group type = I4/mmm (139)
- energy relative to the lowest polymorph listed for this composition (eV per atom) = 0.0258

Lattice parameters (Å, degrees): 4.847 4.847 6.517 68.17 68.17 90.00
Fractional coordinates of all 5 atoms:
1 Tl 0.750 0.250 0.500
2 Tl 0.250 0.750 0.500
3 K 0.000 0.000 0.000
4 Pt 0.383 0.383 0.234
5 Pt 0.617 0.617 0.766

(7)
Material: KTl4Pt
Method: DFT, PBE
State: optimized geometry

- energy of formation (eV per formula unit) = -0.73
- energy (eV/atom) = -2.890
- volume (Å³/f.u.) = 172.74
- space-group type = Cmcm (63)
- energy relative to the lowest polymorph listed for this composition (eV per atom) = 0.0045

Lattice parameters (Å, degrees): 4.737 7.970 9.453 90.00 104.51 90.00
Fractional coordinates of all 12 atoms:
1 K 0.127 0.250 0.254
2 K 0.873 0.750 0.746
3 Tl 0.500 0.500 0.000
4 Tl 0.500 0.000 0.000
5 Tl 0.685 0.955 0.371
6 Tl 0.315 0.045 0.629
7 Tl 0.315 0.455 0.629
8 Tl 0.685 0.545 0.371
9 Tl 0.069 0.750 0.138
10 Tl 0.931 0.250 0.862
11 Pt 0.223 0.750 0.446
12 Pt 0.777 0.250 0.554

(8)
Material: KTlPt
Method: DFT, PBE
State: optimized geometry

- energy of formation (eV per formula unit) = -0.55
- energy (eV/atom) = -3.350
- volume (Å³/f.u.) = 92.88
- space-group type = C2/m (12)

Lattice parameters (Å, degrees): 4.504 7.056 6.287 100.60 90.00 108.61
Fractional coordinates of all 6 atoms:
1 K 0.875 0.041 0.453
2 K 0.138 0.566 0.142
3 Tl 0.418 0.126 0.974
4 Tl 0.595 0.480 0.621
5 Pt 0.794 0.880 0.902
6 Pt 0.218 0.727 0.694

(9)
Material: KTl3Pt
Method: DFT, PBE
State: optimized geometry

- energy of formation (eV per formula unit) = -0.29
- energy (eV/atom) = -2.906
- volume (Å³/f.u.) = 163.99
- space-group type = Pm-3m (221)
- energy relative to the lowest polymorph listed for this composition (eV per atom) = 0.0844

Lattice parameters (Å, degrees): 5.474 5.474 5.474 90.00 90.00 90.00
Fractional coordinates of all 5 atoms:
1 Tl 0.000 0.500 0.000
2 Tl 0.000 0.000 0.500
3 Tl 0.500 0.000 0.000
4 K 0.500 0.500 0.500
5 Pt 0.000 0.000 0.000

(10)
Material: KTlPt3
Method: DFT, PBE
State: optimized geometry

- energy of formation (eV per formula unit) = 3.89
- energy (eV/atom) = -3.539
- volume (Å³/f.u.) = 138.47
- space-group type = Pm-3m (221)
- energy relative to the lowest polymorph listed for this composition (eV per atom) = 0.8391

Lattice parameters (Å, degrees): 5.173 5.173 5.173 90.00 90.00 90.00
Fractional coordinates of all 5 atoms:
1 Tl 0.000 0.000 0.000
2 K 0.500 0.500 0.500
3 Pt 0.000 0.500 0.000
4 Pt 0.000 0.000 0.500
5 Pt 0.500 0.000 0.000

(11)
Material: KTl2Pt
Method: DFT, PBE
State: optimized geometry

- energy of formation (eV per formula unit) = 0.13
- energy (eV/atom) = -2.936
- volume (Å³/f.u.) = 158.30
- space-group type = I-42d (122)

Lattice parameters (Å, degrees): 6.083 6.083 9.577 71.48 71.48 90.00
Fractional coordinates of all 8 atoms:
1 Tl 0.791 0.125 0.250
2 Tl 0.959 0.625 0.250
3 Tl 0.375 0.209 0.750
4 Tl 0.875 0.041 0.750
5 K 0.500 0.500 0.000
6 K 0.250 0.750 0.500
7 Pt 0.000 0.000 0.000
8 Pt 0.750 0.250 0.500

(12)
Material: K5Tl3Pt3
Method: DFT, PBE
State: optimized geometry

- energy of formation (eV per formula unit) = -1.29
- energy (eV/atom) = -2.909
- volume (Å³/f.u.) = 451.49
- space-group type = P-62m (189)

Lattice parameters (Å, degrees): 5.267 9.949 9.949 120.00 90.00 90.00
Fractional coordinates of all 11 atoms:
1 K 0.500 0.333 0.667
2 K 0.500 0.667 0.333
3 K 0.500 0.265 0.265
4 K 0.500 0.000 0.735
5 K 0.500 0.735 0.000
6 Tl 0.000 0.628 0.628
7 Tl 0.000 0.372 0.000
8 Tl 0.000 0.000 0.372
9 Pt 0.500 0.631 0.631
10 Pt 0.500 0.000 0.369
11 Pt 0.500 0.369 0.000

(13)
Material: KTlPt
Method: DFT, PBE
State: optimized geometry

- energy of formation (eV per formula unit) = -0.22
- energy (eV/atom) = -3.241
- volume (Å³/f.u.) = 83.83
- space-group type = I4mm (107)

Lattice parameters (Å, degrees): 6.614 6.614 3.716 73.68 73.69 32.63
Fractional coordinates of all 3 atoms:
1 K 0.992 0.992 0.008
2 Pt 0.300 0.300 0.700
3 Tl 0.708 0.708 0.292

(14)
Material: K2Tl2Pt3
Method: DFT, PBE
State: optimized geometry

- energy of formation (eV per formula unit) = -1.24
- energy (eV/atom) = -3.756
- volume (Å³/f.u.) = 174.39
- space-group type = C2/m (12)
- energy relative to the lowest polymorph listed for this composition (eV per atom) = 0.0040

Lattice parameters (Å, degrees): 4.701 6.512 7.476 122.52 90.00 111.16
Fractional coordinates of all 7 atoms:
1 K 0.833 0.666 0.204
2 K 0.167 0.334 0.796
3 Tl 0.856 0.712 0.721
4 Tl 0.144 0.288 0.279
5 Pt 0.500 0.000 0.000
6 Pt 0.566 0.132 0.411
7 Pt 0.434 0.868 0.589

(15)
Material: KTlPt2
Method: DFT, PBE
State: optimized geometry

- energy of formation (eV per formula unit) = 1.07
- energy (eV/atom) = -3.619
- volume (Å³/f.u.) = 83.36
- space-group type = I-4m2 (119)

Lattice parameters (Å, degrees): 5.424 5.424 5.424 133.18 133.18 68.37
Fractional coordinates of all 4 atoms:
1 K 0.750 0.250 0.500
2 Pt 0.000 0.000 0.000
3 Pt 0.250 0.750 0.500
4 Tl 0.500 0.500 0.000

(16)
Material: KTlPt2
Method: DFT, PBE
State: optimized geometry

- energy of formation (eV per formula unit) = -0.74
- energy (eV/atom) = -4.072
- volume (Å³/f.u.) = 117.38
- space-group type = Cmcm (63)

Lattice parameters (Å, degrees): 4.417 7.303 7.634 90.00 90.00 107.60
Fractional coordinates of all 8 atoms:
1 K 0.416 0.833 0.750
2 K 0.584 0.167 0.250
3 Tl 0.870 0.739 0.250
4 Tl 0.130 0.261 0.750
5 Pt 0.251 0.501 0.417
6 Pt 0.749 0.499 0.583
7 Pt 0.251 0.501 0.083
8 Pt 0.749 0.499 0.917

(17)
Material: K4Tl5Pt2
Method: DFT, PBE
State: optimized geometry

- energy of formation (eV per formula unit) = -0.95
- energy (eV/atom) = -2.660
- volume (Å³/f.u.) = 380.99
- space-group type = P2/m (10)

Lattice parameters (Å, degrees): 5.329 7.540 9.547 96.75 90.00 90.00
Fractional coordinates of all 11 atoms:
1 K 0.500 0.784 0.572
2 K 0.500 0.213 0.853
3 K 0.500 0.216 0.428
4 K 0.500 0.787 0.147
5 Tl 0.000 0.550 0.339
6 Tl 0.000 0.129 0.158
7 Tl 0.000 0.500 0.000
8 Tl 0.000 0.871 0.842
9 Tl 0.000 0.450 0.661
10 Pt 0.000 0.082 0.627
11 Pt 0.000 0.918 0.373

(18)
Material: K6Tl3Pt
Method: DFT, PBE
State: optimized geometry

- energy of formation (eV per formula unit) = -0.75
- energy (eV/atom) = -2.047
- volume (Å³/f.u.) = 397.47
- space-group type = P2_1/c (14)

Lattice parameters (Å, degrees): 7.126 10.553 10.571 90.13 90.00 90.00
Fractional coordinates of all 20 atoms:
1 K 0.927 0.317 0.065
2 K 0.885 0.338 0.434
3 K 0.743 0.149 0.771
4 K 0.257 0.851 0.229
5 K 0.115 0.662 0.566
6 K 0.073 0.683 0.935
7 K 0.573 0.817 0.565
8 K 0.615 0.838 0.934
9 K 0.757 0.649 0.271
10 K 0.243 0.351 0.729
11 K 0.385 0.162 0.066
12 K 0.427 0.183 0.435
13 Tl 0.314 0.488 0.271
14 Tl 0.500 0.500 0.000
15 Tl 0.686 0.512 0.729
16 Tl 0.186 0.988 0.771
17 Tl 0.000 0.000 0.500
18 Tl 0.814 0.012 0.229
19 Pt 0.500 0.500 0.500
20 Pt 0.000 0.000 0.000

(19)
Material: KTl3Pt
Method: DFT, PBE
State: optimized geometry

- energy of formation (eV per formula unit) = -0.44
- energy (eV/atom) = -2.936
- volume (Å³/f.u.) = 145.97
- space-group type = C2/c (15)
- energy relative to the lowest polymorph listed for this composition (eV per atom) = 0.0541

Lattice parameters (Å, degrees): 6.998 9.686 9.686 65.85 79.14 79.14
Fractional coordinates of all 20 atoms:
1 K 0.250 0.964 0.036
2 K 0.750 0.036 0.964
3 K 0.250 0.361 0.639
4 K 0.750 0.639 0.361
5 Tl 0.594 0.657 0.995
6 Tl 0.906 0.005 0.343
7 Tl 0.406 0.343 0.005
8 Tl 0.094 0.995 0.657
9 Tl 0.921 0.340 0.005
10 Tl 0.579 0.995 0.660
11 Tl 0.079 0.660 0.995
12 Tl 0.421 0.005 0.340
13 Tl 0.410 0.668 0.678
14 Tl 0.090 0.322 0.332
15 Tl 0.590 0.332 0.322
16 Tl 0.910 0.678 0.668
17 Pt 0.717 0.414 0.751
18 Pt 0.783 0.249 0.586
19 Pt 0.283 0.586 0.249
20 Pt 0.217 0.751 0.414

(20)
Material: KTlPt2
Method: DFT, PBE
State: optimized geometry

- energy of formation (eV per formula unit) = 0.66
- energy (eV/atom) = -3.721
- volume (Å³/f.u.) = 99.73
- space-group type = C2/m (12)

Lattice parameters (Å, degrees): 4.977 4.977 7.001 81.98 81.98 35.54
Fractional coordinates of all 4 atoms:
1 K 0.250 0.250 0.250
2 Pt 0.013 0.013 0.914
3 Pt 0.487 0.487 0.586
4 Tl 0.750 0.750 0.750

(21)
Material: KTl2Pt
Method: DFT, PBE
State: optimized geometry

- energy of formation (eV per formula unit) = 0.03
- energy (eV/atom) = -2.960
- volume (Å³/f.u.) = 100.12
- space-group type = Fm-3m (225)

Lattice parameters (Å, degrees): 5.212 5.212 5.212 60.00 60.00 60.00
Fractional coordinates of all 4 atoms:
1 Tl 0.250 0.250 0.250
2 Tl 0.750 0.750 0.750
3 K 0.000 0.000 0.000
4 Pt 0.500 0.500 0.500

(22)
Material: KTl4Pt
Method: DFT, PBE
State: optimized geometry

- energy of formation (eV per formula unit) = -0.76
- energy (eV/atom) = -2.894
- volume (Å³/f.u.) = 175.92
- space-group type = Pmma (51)
- energy relative to the lowest polymorph listed for this composition (eV per atom) = 0.0000

Lattice parameters (Å, degrees): 4.153 8.796 9.631 90.00 90.00 90.00
Fractional coordinates of all 12 atoms:
1 K 0.000 0.590 0.750
2 K 0.000 0.410 0.250
3 Tl 0.000 0.000 0.500
4 Tl 0.000 0.000 0.000
5 Tl 0.500 0.926 0.750
6 Tl 0.500 0.074 0.250
7 Tl 0.500 0.696 0.065
8 Tl 0.500 0.304 0.935
9 Tl 0.500 0.696 0.435
10 Tl 0.500 0.304 0.565
11 Pt 0.000 0.183 0.750
12 Pt 0.000 0.817 0.250

(23)
Material: K3Tl3Pt2
Method: DFT, PBE
State: optimized geometry

- energy of formation (eV per formula unit) = -1.53
- energy (eV/atom) = -3.001
- volume (Å³/f.u.) = 250.61
- space-group type = Cmcm (63)
- energy relative to the lowest polymorph listed for this composition (eV per atom) = 0.0000

Lattice parameters (Å, degrees): 4.866 6.633 16.693 90.00 90.00 111.52
Fractional coordinates of all 16 atoms:
1 K 0.933 0.866 0.393
2 K 0.067 0.134 0.893
3 K 0.933 0.866 0.107
4 K 0.067 0.134 0.607
5 K 0.618 0.237 0.250
6 K 0.382 0.763 0.750
7 Tl 0.650 0.300 0.464
8 Tl 0.350 0.700 0.964
9 Tl 0.650 0.300 0.036
10 Tl 0.350 0.700 0.536
11 Tl 0.321 0.643 0.250
12 Tl 0.679 0.357 0.750
13 Pt 0.783 0.565 0.894
14 Pt 0.217 0.435 0.394
15 Pt 0.783 0.565 0.606
16 Pt 0.217 0.435 0.106

| no. | size of the total moment (μB per atom) |
| --- | --- |
| 1 | 0.000 |
| 2 | 0.000 |
| 3 | 0.000 |
| 4 | 0.000 |
| 5 | 0.000 |
| 6 | 0.000 |
| 7 | 0.000 |
| 8 | 0.000 |
| 9 | 0.000 |
| 10 | 0.000 |
| 11 | 0.000 |
| 12 | 0.000 |
| 13 | 0.000 |
| 14 | 0.000 |
| 15 | 0.000 |
| 16 | 0.000 |
| 17 | 0.000 |
| 18 | 0.000 |
| 19 | 0.000 |
| 20 | 0.000 |
| 21 | 0.000 |
| 22 | 0.000 |
| 23 | 0.000 |